1.
# EuSi2Pt

A PBEsol-optimized structure of EuSi2Pt (meta-GGA SCAN, Alexandria).

The structure in extended XYZ format:
```
8
Lattice="4.153 0.000 0.000 0.000 4.267 0.000 0.000 2.134 8.405" Properties=species:S:1:pos:R:3 pbc="T T T"
Pt 3.115 2.134 3.004
Si 3.115 2.134 0.628
Si 1.038 2.134 4.224
Pt 1.038 4.267 5.401
Eu 3.115 2.134 6.644
Si 3.115 4.267 4.182
Eu 1.038 4.267 1.762
Si 1.038 4.267 7.778
```

Output
E_form (uncorrected) = -1.007 eV/atom
Energy = -36.99 eV/atom



2.
# Si2AsRh

A PBEsol-optimized structure of Si2AsRh (meta-GGA SCAN, Alexandria).

The structure in extended XYZ format:
```
4
Lattice="2.788 0.000 0.000 0.000 4.027 0.000 -1.394 -2.013 5.596" Properties=species:S:1:pos:R:3 pbc="T T T"
Si 1.394 0.000 2.658
As 1.394 2.013 0.585
Si 1.394 2.013 4.997
Rh 0.000 2.013 2.953
```

Output
E_form (uncorrected) = 0.016 eV/atom
Energy relative to the lowest polymorph listed for this composition = 0.248 eV/atom
Energy = -18.48 eV/atom



3.
# NbSb2TeAs

A PBEsol-optimized structure of NbSb2TeAs (meta-GGA SCAN, Alexandria).

The structure in extended XYZ format:
```
5
Lattice="5.193 0.000 0.000 0.000 5.193 0.000 0.000 0.000 5.161" Properties=species:S:1:pos:R:3 pbc="T T T"
As 0.000 0.000 0.000
Sb 0.000 2.596 0.000
Te 0.000 0.000 2.580
Nb 2.596 2.596 2.580
Sb 2.596 0.000 0.000
```

Output
E_form (uncorrected) = 1.010 eV/atom
Energy = -32.01 eV/atom



4.
# LiCd4Te

A PBEsol-optimized structure of LiCd4Te (meta-GGA SCAN, Alexandria).

The structure in extended XYZ format:
```
6
Lattice="5.835 0.000 0.000 2.918 5.054 0.000 2.918 1.685 4.765" Properties=species:S:1:pos:R:3 pbc="T T T"
Li 8.753 5.054 3.573
Cd 5.835 3.369 4.164
Te 0.000 0.000 0.000
Cd 4.380 2.529 1.788
Cd 7.290 2.529 1.788
Cd 5.835 5.049 1.788
```

Output
E_form (uncorrected) = 0.018 eV/atom
Energy = -26.87 eV/atom



5.
# TaOs2Pt

A PBEsol-optimized structure of TaOs2Pt (meta-GGA SCAN, Alexandria).

The structure in extended XYZ format:
```
4
Lattice="-2.266 -2.460 1.994 -1.794 -1.023 -3.301 4.657 -1.117 0.113" Properties=species:S:1:pos:R:3 pbc="T T T"
Os 0.417 -1.941 -1.921
Ta 0.180 -2.659 0.726
Os 0.000 0.000 0.000
Pt -2.030 -1.742 -0.654
```

Output
ΔH_f (0 K) = -397 meV/atom
Energy relative to the lowest polymorph listed for this composition = 0.086 eV/atom
Energy = -70.53 eV/atom



6.
# Na3W2N5

A PBEsol-optimized structure of Na3W2N5 (meta-GGA SCAN, Alexandria).

The structure in extended XYZ format:
```
40
Lattice="-8.257 -0.163 2.378 -2.366 -6.167 6.894 -2.553 5.887 7.069" Properties=species:S:1:pos:R:3 pbc="T T T"
Na -3.890 -0.077 1.120
W -8.850 3.444 9.938
W -7.637 -1.243 6.065
N -5.448 1.100 9.071
N -4.711 3.243 6.212
N -9.854 3.605 8.262
W -9.309 -3.984 7.838
N -6.884 -1.114 10.485
N -7.419 -1.842 4.271
Na -9.194 -0.273 8.921
N -8.841 -2.307 7.067
N -10.658 0.795 14.258
Na -9.792 0.993 11.976
N -7.681 0.013 13.006
N -2.955 1.286 4.410
N -2.748 -1.828 6.713
N -6.055 -1.510 6.788
N -3.832 -3.595 8.795
N -1.818 -0.383 2.276
Na -4.028 3.080 8.839
Na -5.410 0.652 4.046
Na -4.657 -3.434 6.209
Na -4.285 -0.176 7.507
W -7.840 -1.488 12.078
N -7.983 1.793 10.326
N -5.277 1.409 11.932
W -10.500 -2.925 10.509
W -6.393 0.784 10.522
N -8.102 0.636 6.377
Na -11.623 -1.171 13.407
N -9.717 -1.718 11.786
W -2.982 2.476 5.920
N -9.261 -4.165 9.790
W -1.514 1.121 3.162
Na -0.542 -0.011 0.156
Na -6.709 2.171 7.402
N -4.974 -1.286 2.791
N -2.622 1.539 7.380
Na -3.021 -1.428 4.260
Na -6.195 -2.608 8.861
```

Output
E_form (uncorrected) = -0.589 eV/atom
Energy = -20.44 eV/atom



7.
# MgB3As

A PBEsol-optimized structure of MgB3As (meta-GGA SCAN, Alexandria).

The structure in extended XYZ format:
```
5
Lattice="-3.046 -0.817 2.682 -1.575 -2.778 -2.635 2.320 -2.959 1.733" Properties=species:S:1:pos:R:3 pbc="T T T"
B 1.160 -1.480 0.867
B -1.523 -0.408 1.341
As 0.000 0.000 0.000
Mg -1.151 -3.277 0.890
B -0.788 -1.389 -1.317
```

Output
ΔH_f (0 K) = 1674 meV/atom
Energy = -7.82 eV/atom



8.
# HfSbPd3

A PBEsol-optimized structure of HfSbPd3 (meta-GGA SCAN, Alexandria).

The structure in extended XYZ format:
```
5
Lattice="-0.266 0.823 -4.735 1.070 -4.613 -0.862 -4.685 -1.100 0.072" Properties=species:S:1:pos:R:3 pbc="T T T"
Pd 0.535 -2.306 -0.431
Hf 0.000 0.000 0.000
Sb -1.941 -2.445 -2.762
Pd -0.133 0.412 -2.367
Pd -2.342 -0.550 0.036
```

Output
E_form (uncorrected) = 0.477 eV/atom
Energy = -39.17 eV/atom